[1]
A plane-wave DFT calculation with PBE-GGA was carried out for a relaxed LiTb3Sm2Se6 crystal.

Cell: 7.0967 12.3296 7.1073 Å, 90.00 109.64 90.00°
Space group C2/m (No. 12)
Inequivalent atoms, fractional coordinates:
1 Li 0.0000 0.0000 0.0000 (multiplicity 2)
2 Tb 0.0000 0.1682 0.5000 (multiplicity 4)
3 Tb 0.0000 0.5000 0.5000 (multiplicity 2)
4 Sm 0.0000 0.3346 0.0000 (multiplicity 4)
5 Se 0.2369 0.0000 0.7518 (multiplicity 4)
6 Se 0.2433 0.1607 0.2493 (multiplicity 8)

D(E_F)   0.4460 states/eV/atom
Size of the total moment   0.00 μB/f.u.
Calculated volume   585.71 Å³ per cell
Formation energy without anion corrections   -171 kJ per mole of atoms

***

[2]
A plane-wave DFT calculation with PBE-GGA was carried out for a relaxed LiTb4SmSe8 crystal.

Cell: 8.4062 8.4062 20.7431 Å, 90.00 90.00 120.00°
Space group R3m (No. 160, hexagonal axes)
Inequivalent atoms, fractional coordinates:
1 Li 0.0000 0.0000 0.0000 (multiplicity 3)
2 Tb 0.0000 0.0000 0.7490 (multiplicity 3)
3 Tb 0.0136 0.5068 0.8764 (multiplicity 9)
4 Sm 0.0000 0.0000 0.3700 (multiplicity 3)
5 Se 0.0000 0.0000 0.1304 (multiplicity 3)
6 Se 0.0000 0.0000 0.6159 (multiplicity 3)
7 Se 0.0198 0.5099 0.1289 (multiplicity 9)
8 Se 0.1726 0.3452 0.9551 (multiplicity 9)

D(E_F)   0.0000 states/eV/atom
Size of the total moment   0.00 μB/f.u.
Calculated volume   1269.42 Å³ per cell
Formation energy without anion corrections   -172 kJ per mole of atoms

***

[3]
A plane-wave DFT calculation with PBE-GGA was carried out for a relaxed LiTbSm2Se4 crystal.

Cell: 7.1092 4.1053 7.1231 Å, 90.00 109.34 90.00°
Space group P2/m (No. 10)
Inequivalent atoms, fractional coordinates:
1 Li 0.0000 0.0000 0.0000 (multiplicity 1)
2 Tb 0.5000 0.5000 0.0000 (multiplicity 1)
3 Sm 0.0000 0.5000 0.5000 (multiplicity 1)
4 Sm 0.5000 0.0000 0.5000 (multiplicity 1)
5 Se 0.2418 0.5000 0.2376 (multiplicity 2)
6 Se 0.2473 0.0000 0.7614 (multiplicity 2)

D(E_F)   0.3479 states/eV/atom
Size of the total moment   0.00 μB/f.u.
Calculated volume   196.16 Å³ per cell
Formation energy without anion corrections   -170 kJ per mole of atoms

***

[4]
A plane-wave DFT calculation with PBE-GGA was carried out for a relaxed Li2SmThSe4 crystal.

Cell: 6.9975 4.1188 7.1383 Å, 90.00 109.75 90.00°
Space group P2/m (No. 10)
Inequivalent atoms, fractional coordinates:
1 Li 0.0000 0.0000 0.0000 (multiplicity 1)
2 Li 0.0000 0.5000 0.5000 (multiplicity 1)
3 Sm 0.5000 0.0000 0.5000 (multiplicity 1)
4 Th 0.5000 0.5000 0.0000 (multiplicity 1)
5 Se 0.2335 0.0000 0.7442 (multiplicity 2)
6 Se 0.2371 0.5000 0.2450 (multiplicity 2)

D(E_F)   0.4210 states/eV/atom
Size of the total moment   0.00 μB/f.u.
Calculated volume   193.64 Å³ per cell
Formation energy without anion corrections   -152 kJ per mole of atoms

***

[5]
A plane-wave DFT calculation with PBE-GGA was carried out for a relaxed LiSmThSe3 crystal.

Cell: 8.6211 3.9889 8.8685 Å, 90.00 103.52 90.00°
Space group P2_1/m (No. 11)
Inequivalent atoms, fractional coordinates:
1 Li 0.0894 0.2500 0.0868 (multiplicity 2)
2 Sm 0.3405 0.7500 0.3534 (multiplicity 2)
3 Th 0.1930 0.2500 0.7183 (multiplicity 2)
4 Se 0.0879 0.2500 0.3703 (multiplicity 2)
5 Se 0.2139 0.7500 0.9914 (multiplicity 2)
6 Se 0.4377 0.7500 0.6992 (multiplicity 2)

D(E_F)   0.3460 states/eV/atom
Size of the total moment   0.00 μB/f.u.
Calculated volume   296.52 Å³ per cell
Formation energy without anion corrections   -150 kJ per mole of atoms

***

[6]
A plane-wave DFT calculation with PBE-GGA was carried out for a relaxed LiSm3Th3Se8 crystal.

Cell: 8.3188 8.3188 20.3916 Å, 90.00 90.00 120.00°
Space group R-3m (No. 166, hexagonal axes)
Inequivalent atoms, fractional coordinates:
1 Li 0.0000 0.0000 0.0000 (multiplicity 3)
2 Sm 0.0000 0.5000 0.0000 (multiplicity 9)
3 Th 0.0000 0.5000 0.5000 (multiplicity 9)
4 Se 0.0000 0.0000 0.2520 (multiplicity 6)
5 Se 0.0059 0.5030 0.7481 (multiplicity 18)

D(E_F)   0.6763 states/eV/atom
Size of the total moment   0.00 μB/f.u.
Calculated volume   1222.10 Å³ per cell
Formation energy without anion corrections   -163 kJ per mole of atoms

***

[7]
A plane-wave DFT calculation with PBE-GGA was carried out for a relaxed Li3Sm2ThSe6 crystal.

Cell: 7.1575 12.4007 6.9749 Å, 90.00 110.00 90.00°
Space group C2/m (No. 12)
Inequivalent atoms, fractional coordinates:
1 Li 0.0000 0.0000 0.0000 (multiplicity 2)
2 Li 0.0000 0.3321 0.0000 (multiplicity 4)
3 Sm 0.0000 0.1666 0.5000 (multiplicity 4)
4 Th 0.0000 0.5000 0.5000 (multiplicity 2)
5 Se 0.2445 0.5000 0.2380 (multiplicity 4)
6 Se 0.2467 0.1659 0.2373 (multiplicity 8)

D(E_F)   0.3271 states/eV/atom
Size of the total moment   0.00 μB/f.u.
Calculated volume   581.73 Å³ per cell
Formation energy without anion corrections   -156 kJ per mole of atoms

***

[8]
A plane-wave DFT calculation with PBE-GGA was carried out for a relaxed LiSm3Th4Se8 crystal.

Cell: 8.1627 8.1627 21.2334 Å, 90.00 90.00 120.00°
Space group R-3m (No. 166, hexagonal axes)
Inequivalent atoms, fractional coordinates:
1 Li 0.0000 0.0000 0.0000 (multiplicity 3)
2 Sm 0.0000 0.5000 0.0000 (multiplicity 9)
3 Th 0.0000 0.0000 0.5000 (multiplicity 3)
4 Th 0.0000 0.5000 0.5000 (multiplicity 9)
5 Se 0.0000 0.0000 0.2522 (multiplicity 6)
6 Se 0.0117 0.5058 0.7452 (multiplicity 18)

D(E_F)   0.5618 states/eV/atom
Size of the total moment   0.00 μB/f.u.
Calculated volume   1225.25 Å³ per cell
Formation energy without anion corrections   -158 kJ per mole of atoms

***

[9]
A plane-wave DFT calculation with PBE-GGA was carried out for a relaxed Li3Sm2TmSe6 crystal.

Cell: 7.1210 12.3325 6.9317 Å, 90.00 110.03 90.00°
Space group C2/m (No. 12)
Inequivalent atoms, fractional coordinates:
1 Li 0.0000 0.0000 0.0000 (multiplicity 2)
2 Li 0.0000 0.3355 0.0000 (multiplicity 4)
3 Sm 0.0000 0.1668 0.5000 (multiplicity 4)
4 Tm 0.0000 0.5000 0.5000 (multiplicity 2)
5 Se 0.2405 0.5000 0.2462 (multiplicity 4)
6 Se 0.2476 0.3375 0.7555 (multiplicity 8)

D(E_F)   0.0000 states/eV/atom
Size of the total moment   0.00 μB/f.u.
Calculated volume   571.91 Å³ per cell
Formation energy without anion corrections   -162 kJ per mole of atoms

***

[10]
A plane-wave DFT calculation with PBE-GGA was carried out for a relaxed LiSm4Tm3Se8 crystal.

Cell: 8.1264 8.1264 20.2527 Å, 90.00 90.00 120.00°
Space group R-3m (No. 166, hexagonal axes)
Inequivalent atoms, fractional coordinates:
1 Li 0.0000 0.0000 0.0000 (multiplicity 3)
2 Sm 0.0000 0.0000 0.5000 (multiplicity 3)
3 Sm 0.0000 0.5000 0.5000 (multiplicity 9)
4 Tm 0.0000 0.5000 0.0000 (multiplicity 9)
5 Se 0.0000 0.0000 0.2548 (multiplicity 6)
6 Se 0.0052 0.5026 0.7440 (multiplicity 18)

D(E_F)   0.4751 states/eV/atom
Size of the total moment   0.00 μB/f.u.
Calculated volume   1158.30 Å³ per cell
Formation energy without anion corrections   -169 kJ per mole of atoms

***

[11]
A plane-wave DFT calculation with PBE-GGA was carried out for a relaxed Li2Sm3TmSe6 crystal.

Cell: 7.0688 12.2445 7.0612 Å, 90.00 109.46 90.00°
Space group C2/m (No. 12)
Inequivalent atoms, fractional coordinates:
1 Li 0.0000 0.1669 0.0000 (multiplicity 4)
2 Sm 0.0000 0.0000 0.5000 (multiplicity 2)
3 Sm 0.0000 0.3326 0.5000 (multiplicity 4)
4 Tm 0.0000 0.5000 0.0000 (multiplicity 2)
5 Se 0.2435 0.0000 0.2355 (multiplicity 4)
6 Se 0.2457 0.3324 0.2337 (multiplicity 8)

D(E_F)   0.2223 states/eV/atom
Size of the total moment   0.00 μB/f.u.
Calculated volume   576.28 Å³ per cell
Formation energy without anion corrections   -167 kJ per mole of atoms

***

[12]
A plane-wave DFT calculation with PBE-GGA was carried out for a relaxed LiSm2TmSe4 crystal.

Cell: 7.0475 4.0750 7.0939 Å, 90.00 109.24 90.00°
Space group P2/m (No. 10)
Inequivalent atoms, fractional coordinates:
1 Li 0.0000 0.0000 0.0000 (multiplicity 1)
2 Sm 0.0000 0.5000 0.5000 (multiplicity 1)
3 Sm 0.5000 0.0000 0.5000 (multiplicity 1)
4 Tm 0.5000 0.5000 0.0000 (multiplicity 1)
5 Se 0.2426 0.5000 0.2338 (multiplicity 2)
6 Se 0.2511 0.0000 0.7666 (multiplicity 2)

D(E_F)   0.3474 states/eV/atom
Size of the total moment   0.00 μB/f.u.
Calculated volume   192.35 Å³ per cell
Formation energy without anion corrections   -168 kJ per mole of atoms

***

[13]
A plane-wave DFT calculation with PBE-GGA was carried out for a relaxed LiSm3Tm3Se8 crystal.

Cell: 8.1149 8.1149 20.0636 Å, 90.00 90.00 120.00°
Space group R-3m (No. 166, hexagonal axes)
Inequivalent atoms, fractional coordinates:
1 Li 0.0000 0.0000 0.0000 (multiplicity 3)
2 Sm 0.0000 0.5000 0.5000 (multiplicity 9)
3 Tm 0.0000 0.5000 0.0000 (multiplicity 9)
4 Se 0.0000 0.0000 0.2541 (multiplicity 6)
5 Se 0.0011 0.5006 0.2539 (multiplicity 18)

D(E_F)   0.3023 states/eV/atom
Size of the total moment   0.00 μB/f.u.
Calculated volume   1144.22 Å³ per cell
Formation energy without anion corrections   -172 kJ per mole of atoms

***

[14]
A plane-wave DFT calculation with PBE-GGA was carried out for a relaxed LiSm2Tm3Se6 crystal.

Cell: 17.7867 4.0509 8.1635 Å, 90.00 103.61 90.00°
Space group C2/m (No. 12)
Inequivalent atoms, fractional coordinates:
1 Li 0.0000 0.0000 0.0000 (multiplicity 2)
2 Sm 0.1704 0.5000 0.3421 (multiplicity 4)
3 Tm 0.0000 0.0000 0.5000 (multiplicity 2)
4 Tm 0.1676 0.5000 0.8301 (multiplicity 4)
5 Se 0.0021 0.5000 0.7535 (multiplicity 4)
6 Se 0.1612 0.0000 0.5921 (multiplicity 4)
7 Se 0.1646 0.0000 0.0729 (multiplicity 4)

D(E_F)   0.2643 states/eV/atom
Size of the total moment   0.00 μB/f.u.
Calculated volume   571.68 Å³ per cell
Formation energy without anion corrections   -168 kJ per mole of atoms

***

[15]
A plane-wave DFT calculation with PBE-GGA was carried out for a relaxed Li3Sm2USe6 crystal.

Cell: 7.1619 12.3765 6.9428 Å, 90.00 110.07 90.00°
Space group C2/m (No. 12)
Inequivalent atoms, fractional coordinates:
1 Li 0.0000 0.0000 0.0000 (multiplicity 2)
2 Li 0.0000 0.3328 0.0000 (multiplicity 4)
3 Sm 0.0000 0.1667 0.5000 (multiplicity 4)
4 U 0.0000 0.5000 0.5000 (multiplicity 2)
5 Se 0.2431 0.5000 0.2426 (multiplicity 4)
6 Se 0.2488 0.1647 0.2410 (multiplicity 8)

D(E_F)   0.7664 states/eV/atom
Size of the total moment   2.97 μB/f.u.
Calculated volume   578.04 Å³ per cell
Formation energy without anion corrections   -144 kJ per mole of atoms

***

[16]
A plane-wave DFT calculation with PBE-GGA was carried out for a relaxed LiSmUSe3 crystal.

Cell: 8.6071 3.9345 8.8338 Å, 90.00 102.97 90.00°
Space group P2_1/m (No. 11)
Inequivalent atoms, fractional coordinates:
1 Li 0.0857 0.2500 0.0801 (multiplicity 2)
2 Sm 0.3385 0.7500 0.3358 (multiplicity 2)
3 U 0.1743 0.2500 0.7108 (multiplicity 2)
4 Se 0.0923 0.2500 0.3647 (multiplicity 2)
5 Se 0.2168 0.7500 0.9856 (multiplicity 2)
6 Se 0.4183 0.7500 0.6792 (multiplicity 2)

D(E_F)   1.2995 states/eV/atom
Size of the total moment   3.15 μB/f.u.
Calculated volume   291.52 Å³ per cell
Formation energy without anion corrections   -128 kJ per mole of atoms

***

[17]
A plane-wave DFT calculation with PBE-GGA was carried out for a relaxed Li3SmU2Se6 crystal.

Cell: 7.0638 12.2355 6.9771 Å, 90.00 109.74 90.00°
Space group C2/m (No. 12)
Inequivalent atoms, fractional coordinates:
1 Li 0.0000 0.0000 0.0000 (multiplicity 2)
2 Li 0.0000 0.3349 0.0000 (multiplicity 4)
3 Sm 0.0000 0.5000 0.5000 (multiplicity 2)
4 U 0.0000 0.1666 0.5000 (multiplicity 4)
5 Se 0.2445 0.1691 0.2411 (multiplicity 8)
6 Se 0.2488 0.0000 0.7604 (multiplicity 4)

D(E_F)   0.7707 states/eV/atom
Size of the total moment   5.99 μB/f.u.
Calculated volume   567.57 Å³ per cell
Formation energy without anion corrections   -129 kJ per mole of atoms

***

[18]
A plane-wave DFT calculation with PBE-GGA was carried out for a relaxed Li2SmUSe4 crystal.

Cell: 6.9608 4.0993 7.1143 Å, 90.00 109.89 90.00°
Space group P2/m (No. 10)
Inequivalent atoms, fractional coordinates:
1 Li 0.0000 0.0000 0.0000 (multiplicity 1)
2 Li 0.0000 0.5000 0.5000 (multiplicity 1)
3 Sm 0.5000 0.0000 0.5000 (multiplicity 1)
4 U 0.5000 0.5000 0.0000 (multiplicity 1)
5 Se 0.2405 0.5000 0.2428 (multiplicity 2)
6 Se 0.2416 0.0000 0.7505 (multiplicity 2)

D(E_F)   0.8424 states/eV/atom
Size of the total moment   2.99 μB/f.u.
Calculated volume   190.89 Å³ per cell
Formation energy without anion corrections   -136 kJ per mole of atoms

***

[19]
A plane-wave DFT calculation with PBE-GGA was carried out for a relaxed LiSm2USe4 crystal.

Cell: 7.1174 4.0904 7.1394 Å, 90.00 109.25 90.00°
Space group P2/m (No. 10)
Inequivalent atoms, fractional coordinates:
1 Li 0.0000 0.0000 0.0000 (multiplicity 1)
2 Sm 0.5000 0.0000 0.5000 (multiplicity 1)
3 Sm 0.5000 0.5000 0.0000 (multiplicity 1)
4 U 0.0000 0.5000 0.5000 (multiplicity 1)
5 Se 0.2375 0.5000 0.2410 (multiplicity 2)
6 Se 0.2402 0.0000 0.7537 (multiplicity 2)

D(E_F)   0.8083 states/eV/atom
Size of the total moment   2.99 μB/f.u.
Calculated volume   196.22 Å³ per cell
Formation energy without anion corrections   -147 kJ per mole of atoms

***

[20]
A plane-wave DFT calculation with PBE-GGA was carried out for a relaxed LiSm2USe5 crystal.

Cell: 4.1017 17.1980 12.4736 Å, 90.00 90.00 90.00°
Space group Cmc2_1 (No. 36)
Inequivalent atoms, fractional coordinates:
1 Li 0.0000 0.0197 0.0000 (multiplicity 4)
2 Sm 0.0000 0.3736 0.8228 (multiplicity 4)
3 Sm 0.0000 0.3918 0.2123 (multiplicity 4)
4 U 0.0000 0.3001 0.5307 (multiplicity 4)
5 Se 0.0000 0.0011 0.3062 (multiplicity 4)
6 Se 0.0000 0.1336 0.5253 (multiplicity 4)
7 Se 0.0000 0.1898 0.8694 (multiplicity 4)
8 Se 0.0000 0.2137 0.1909 (multiplicity 4)
9 Se 0.0000 0.4520 0.5973 (multiplicity 4)

D(E_F)   0.7906 states/eV/atom
Size of the total moment   2.76 μB/f.u.
Calculated volume   879.91 Å³ per cell
Formation energy without anion corrections   -144 kJ per mole of atoms